Compound: TaAl2As
Source: Alexandria
Functional: GGA-PBE
Structure: optimized geometry

Lattice parameters (Å, degrees): 3.4420 4.3872 4.4226 90.00 90.00 90.00
Element x y z (fractional)
Ta (0.0000, 0.0000, 0.0000)
Al (0.0000, 0.5000, 0.5000)
Al (0.5000, 0.0000, 0.5000)
As (0.5000, 0.5000, 0.0000)

Results
- E_form (eV/atom) = 0.059
- DOS(E_F) (states/eV per cell) = 1.41
- crystal system = orthorhombic
- density (g cm⁻³) = 7.70